DFT (GGA-PBE) results for a relaxed structure of LaAlTc.

POSCAR file:
```
LaAlTc
1.0
0.000 3.349 3.349
3.349 0.000 3.349
3.349 3.349 0.000
Al Tc La
1 1 1
Cartesian
1.674 1.674 1.674
5.023 5.023 5.023
0.000 0.000 0.000
```

## Properties
Volume in Å³/cell: 75
Theoretical density in g cm⁻³: 5.8
Total magnetic moment in μB per formula unit: 0.8
Uncorrected energy in eV/cell: -15.686

***

DFT (GGA-PBE) results for a relaxed structure of Pr3InNiSn2Pt2.

POSCAR file:
```
Pr3InNiSn2Pt2
1.0
-0.719 2.639 -3.035
-6.899 -3.117 -1.075
0.825 5.833 4.875
Pt Ni Pr In Sn
2 1 3 1 2
Cartesian
-2.111 4.176 1.381
-4.695 1.183 -0.608
-6.025 2.693 3.770
-2.838 -1.278 -0.438
-3.572 1.597 2.235
0.334 2.397 2.005
-1.841 1.982 -0.590
-5.605 -1.044 -2.329
0.260 5.751 2.189
```

## Properties
Volume in Å³/cell: 207
Theoretical density in g cm⁻³: 9.8
Total magnetic moment in μB per formula unit: 0.0
Uncorrected energy in eV/cell: -50.729

***

DFT (GGA-PBE) results for a relaxed structure of Ta2I.

POSCAR file:
```
Ta2I
1.0
3.232 -1.076 3.030
3.076 3.122 1.257
-0.133 1.769 4.200
Ta I
2 1
Cartesian
1.544 0.954 2.122
4.632 2.861 6.366
0.000 0.000 0.000
```

## Properties
Volume in Å³/cell: 67
Theoretical density in g cm⁻³: 12.1
Total magnetic moment in μB per formula unit: 0.0
Excess energy over the best structure of this formula in the dataset in meV per atom: 501

***

DFT (GGA-PBE) results for a relaxed structure of Dy4AlCu2.

POSCAR file:
```
Dy4AlCu2
1.0
-2.050 1.482 -2.391
0.965 0.015 -3.344
-8.110 -15.181 -2.273
Dy Cu Al
4 2 1
Cartesian
-7.954 -14.888 -2.232
-2.803 -2.899 -4.398
-3.966 -7.417 -1.123
-7.282 -11.282 -5.658
-3.383 -5.156 -2.760
-1.482 -0.415 -4.047
-6.495 -8.639 -7.236
```

## Properties
Volume in Å³/cell: 182
Theoretical density in g cm⁻³: 7.3
Total magnetic moment in μB per formula unit: 0.0
Uncorrected energy in eV/cell: -28.024

***

DFT (GGA-PBE) results for a relaxed structure of MgScReMo.

POSCAR file:
```
MgScReMo
1.0
-3.278 1.538 2.770
-0.262 4.446 0.973
-3.417 2.504 -1.683
Mg Sc Re Mo
1 1 1 1
Cartesian
-5.218 6.366 1.546
0.000 0.000 0.000
-3.478 4.244 1.030
-1.739 2.122 0.515
```

## Properties
Volume in Å³/cell: 67
Theoretical density in g cm⁻³: 8.7
Total magnetic moment in μB per formula unit: 0.0
Excess energy over the best structure of this formula in the dataset in meV per atom: 20

***

DFT (GGA-PBE) results for a relaxed structure of InAuO2.

POSCAR file:
```
InAuO2
1.0
-3.017 0.616 -1.192
2.396 -1.032 -2.025
-3.297 -11.927 2.179
O Au In
4 2 2
Cartesian
0.311 -1.499 -1.561
-3.142 -6.913 -0.195
-0.776 -5.430 -0.843
-4.229 -10.844 0.523
-3.685 -8.878 0.164
-0.233 -3.464 -1.202
-1.648 -5.963 1.089
0.000 0.000 0.000
```

## Properties
Volume in Å³/cell: 119
Theoretical density in g cm⁻³: 9.6
Uncorrected energy in eV/cell: -39.619

***

DFT (GGA-PBE) results for a relaxed structure of HfCd.

POSCAR file:
```
HfCd
1.0
-2.828 1.138 0.143
0.484 -2.729 -1.277
-0.696 -2.319 4.691
Hf Cd
1 1
Cartesian
-0.794 -2.020 0.369
-2.246 -1.891 3.187
```

## Properties
Volume in Å³/cell: 43
Theoretical density in g cm⁻³: 11.3
Formation energy from the elements in eV/atom: 0.0797
Total magnetic moment in μB per formula unit: 0.0

***

DFT (GGA-PBE) results for a relaxed structure of AgPbSeO.

POSCAR file:
```
AgPbSeO
1.0
-2.245 -1.527 -2.735
0.504 -1.858 3.339
-10.953 6.581 5.316
Ag O Pb Se
2 2 2 2
Cartesian
-10.900 6.549 5.291
-5.424 3.259 2.632
-9.125 5.483 4.429
-3.648 2.192 1.771
-9.759 3.428 3.381
-3.365 0.027 2.747
-6.873 2.134 4.450
-2.313 -1.046 -0.233
```

## Properties
Volume in Å³/cell: 178
Theoretical density in g cm⁻³: 7.6
Excess energy over the best structure of this formula in the dataset in meV per atom: 45